Record 1
{
  "formula": "Ag2PbBr4",
  "functional": "PBE",
  "state": "optimized geometry",
  "lattice": [[-2.971, 2.971, 6.852], [2.971, -2.971, 6.852], [2.971, 2.971, -6.852]],
  "species": ["Ag", "Ag", "Pb", "Br", "Br", "Br", "Br"],
  "fractional_positions": [[0.102, 0.102, 0.000], [0.898, 0.898, 0.000], [0.500, 0.500, 0.000], [0.000, 0.500, 0.500], [0.287, 0.287, 0.000], [0.500, 0.000, 0.500], [0.713, 0.713, 0.000]],
  "polymorph_energy_ev_per_fu": 1.39,
  "magmom_total_mub_per_atom": 0.000,
  "raw_formation_energy_kj_per_mol_atoms": -36.2,
  "dft_energy_ev_per_atom": -2.68
}

Record 2
{
  "formula": "Hf3P2",
  "functional": "PBE",
  "state": "optimized geometry",
  "lattice": [[1.699, -6.780, 0.000], [1.699, 6.780, 0.000], [0.000, 0.000, 8.188]],
  "species": ["Hf", "Hf", "Hf", "Hf", "Hf", "Hf", "P", "P", "P", "P"],
  "fractional_positions": [[0.032, 0.968, 0.750], [0.162, 0.838, 0.065], [0.162, 0.838, 0.435], [0.838, 0.162, 0.565], [0.838, 0.162, 0.935], [0.968, 0.032, 0.250], [0.231, 0.769, 0.750], [0.500, 0.500, 0.000], [0.500, 0.500, 0.500], [0.769, 0.231, 0.250]],
  "polymorph_energy_ev_per_fu": 2.12,
  "ef_ev_per_fu": -3.665,
  "magmom_total_mub_per_atom": 0.014,
  "dft_energy_ev_per_atom": -8.87
}

Record 3
{
  "formula": "PmTm6Fe2",
  "functional": "PBE",
  "state": "optimized geometry",
  "lattice": [[-4.731, 4.935, 4.951], [4.731, -4.935, 4.951], [4.731, 4.935, -4.951]],
  "species": ["Pm", "Pm", "Tm", "Tm", "Tm", "Tm", "Tm", "Tm", "Tm", "Tm", "Tm", "Tm", "Tm", "Tm", "Fe", "Fe", "Fe", "Fe"],
  "fractional_positions": [[0.000, 0.000, 0.000], [0.500, 0.000, 0.500], [0.003, 0.233, 0.770], [0.191, 0.483, 0.292], [0.191, 0.898, 0.708], [0.305, 0.297, 0.602], [0.305, 0.703, 0.008], [0.463, 0.233, 0.230], [0.537, 0.767, 0.770], [0.695, 0.297, 0.992], [0.695, 0.703, 0.398], [0.809, 0.102, 0.292], [0.809, 0.517, 0.708], [0.997, 0.767, 0.230], [0.109, 0.500, 0.609], [0.388, 0.388, 0.000], [0.612, 0.612, 0.000], [0.891, 0.500, 0.391]],
  "ef_ev_per_fu": 0.366,
  "magmom_total_mub_per_atom": 0.119,
  "dft_energy_ev_per_atom": -5.35
}

Record 4
{
  "formula": "Li2BeRh",
  "functional": "PBE",
  "state": "optimized geometry",
  "lattice": [[4.612, -1.493, 0.000], [4.612, 1.493, 0.000], [-1.446, 0.000, 3.366]],
  "species": ["Li", "Li", "Be", "Rh"],
  "fractional_positions": [[0.240, 0.240, 0.239], [0.760, 0.760, 0.761], [0.500, 0.500, 0.000], [0.000, 0.000, 0.500]],
  "ef_ev_per_fu": -0.986,
  "magmom_total_mub_per_atom": 0.000,
  "dft_energy_ev_per_atom": -3.97
}

Record 5
{
  "formula": "LiZnAg4",
  "functional": "PBE",
  "state": "optimized geometry",
  "lattice": [[3.823, -2.225, 0.000], [3.823, 2.225, 0.000], [-2.536, 0.000, 6.415]],
  "species": ["Li", "Zn", "Ag", "Ag", "Ag", "Ag"],
  "fractional_positions": [[0.000, 0.000, 0.000], [0.500, 0.500, 0.500], [0.214, 0.214, 0.649], [0.367, 0.367, 0.102], [0.633, 0.633, 0.898], [0.786, 0.786, 0.351]],
  "polymorph_energy_ev_per_fu": 0.67,
  "ef_ev_per_fu": 0.018,
  "magmom_total_mub_per_atom": 0.000,
  "dft_energy_ev_per_atom": -2.43
}

Record 6
{
  "formula": "Tl3Hg12Pb",
  "functional": "PBE",
  "state": "optimized geometry",
  "lattice": [[4.962, 0.000, 0.000], [0.000, 4.962, 0.000], [0.000, 0.000, 18.206]],
  "species": ["Tl", "Tl", "Tl", "Hg", "Hg", "Hg", "Hg", "Hg", "Hg", "Hg", "Hg", "Hg", "Hg", "Hg", "Hg", "Pb"],
  "fractional_positions": [[0.000, 0.000, 0.000], [0.000, 0.000, 0.253], [0.000, 0.000, 0.747], [0.000, 0.500, 0.127], [0.000, 0.500, 0.378], [0.000, 0.500, 0.622], [0.000, 0.500, 0.873], [0.500, 0.000, 0.127], [0.500, 0.000, 0.378], [0.500, 0.000, 0.622], [0.500, 0.000, 0.873], [0.500, 0.500, 0.000], [0.500, 0.500, 0.255], [0.500, 0.500, 0.500], [0.500, 0.500, 0.745], [0.000, 0.000, 0.500]],
  "ef_ev_per_fu": -0.145,
  "magmom_total_mub_per_atom": 0.000,
  "dft_energy_ev_per_atom": -0.91
}

Record 7
{
  "formula": "SrBi2Au3",
  "functional": "PBE",
  "state": "optimized geometry",
  "lattice": [[5.686, -4.288, 0.000], [5.686, 4.288, 0.000], [0.000, 0.000, 6.812]],
  "species": ["Sr", "Sr", "Bi", "Bi", "Bi", "Bi", "Au", "Au", "Au", "Au", "Au", "Au"],
  "fractional_positions": [[0.171, 0.829, 0.750], [0.829, 0.171, 0.250], [0.289, 0.289, 0.000], [0.289, 0.289, 0.500], [0.711, 0.711, 0.000], [0.711, 0.711, 0.500], [0.048, 0.701, 0.250], [0.299, 0.952, 0.250], [0.456, 0.544, 0.250], [0.544, 0.456, 0.750], [0.701, 0.048, 0.750], [0.952, 0.299, 0.750]],
  "ef_ev_per_fu": -1.934,
  "magmom_total_mub_per_atom": 0.000,
  "dft_energy_ev_per_atom": -3.54
}

Record 8
{
  "formula": "NbAl2ZnGe",
  "functional": "PBE",
  "state": "optimized geometry",
  "lattice": [[4.442, 0.000, 0.000], [0.000, 4.442, 0.000], [0.000, 0.000, 5.026]],
  "species": ["Nb", "Al", "Al", "Zn", "Ge"],
  "fractional_positions": [[0.000, 0.000, 0.000], [0.000, 0.500, 0.500], [0.500, 0.000, 0.500], [0.000, 0.000, 0.500], [0.500, 0.500, 0.000]],
  "ef_ev_per_fu": 3.693,
  "magmom_total_mub_per_atom": 0.000,
  "dft_energy_ev_per_atom": -3.95
}